Nd5Tl2Rh2Au | GGA-PBE | optimized geometry

Cell: 3.772 12.026 12.026 Å, 90.00 90.00 90.00°
Atoms (fractional coordinates):
Nd: 0.500 0.578 0.700
Nd: 0.500 0.922 0.200
Nd: 0.500 0.078 0.800
Nd: 0.500 0.000 0.500
Nd: 0.500 0.422 0.300
Nd: 0.500 0.700 0.422
Nd: 0.500 0.500 0.000
Nd: 0.500 0.800 0.922
Nd: 0.500 0.300 0.578
Nd: 0.500 0.200 0.078
Rh: 0.000 0.367 0.133
Rh: 0.000 0.867 0.367
Rh: 0.000 0.133 0.633
Rh: 0.000 0.633 0.867
Tl: 0.000 0.673 0.173
Tl: 0.000 0.173 0.327
Tl: 0.000 0.827 0.673
Tl: 0.000 0.327 0.827
Au: 0.000 0.000 0.000
Au: 0.000 0.500 0.500

Output
Energy of formation (eV per atom): -0.57
Size of the total moment (μB per formula unit): 0.00
Raw total energy (eV for the cell shown): -104.43

=====

Nd2Zn5Rh2Au | GGA-PBE | optimized geometry

Cell: 3.851 9.860 9.860 Å, 90.00 90.00 90.00°
Atoms (fractional coordinates):
Rh: 0.000 0.381 0.119
Rh: 0.000 0.119 0.619
Rh: 0.000 0.881 0.381
Rh: 0.000 0.619 0.881
Nd: 0.000 0.682 0.182
Nd: 0.000 0.318 0.818
Nd: 0.000 0.182 0.318
Nd: 0.000 0.818 0.682
Zn: 0.500 0.446 0.301
Zn: 0.500 0.000 0.500
Zn: 0.500 0.301 0.554
Zn: 0.500 0.699 0.446
Zn: 0.500 0.946 0.199
Zn: 0.500 0.801 0.946
Zn: 0.500 0.500 0.000
Zn: 0.500 0.554 0.699
Zn: 0.500 0.054 0.801
Zn: 0.500 0.199 0.054
Au: 0.000 0.000 0.000
Au: 0.000 0.500 0.500

Output
Energy of formation (eV per atom): -0.41
Size of the total moment (μB per formula unit): 0.00
Raw total energy (eV for the cell shown): -75.94

=====

NdZnRhAu | GGA-PBE | optimized geometry

Cell: 4.824 4.824 4.824 Å, 60.00 60.00 60.00°
Atoms (fractional coordinates):
Nd: 0.750 0.750 0.750
Zn: 0.250 0.250 0.250
Au: 0.000 0.000 0.000
Rh: 0.500 0.500 0.500

Output
Energy of formation (eV per atom): -0.43
Size of the total moment (μB per formula unit): 0.00
Raw total energy (eV for the cell shown): -18.41

=====

Nd4Ru2Au | GGA-PBE | optimized geometry

Cell: 7.752 7.823 7.755 Å, 110.01 108.64 109.38°
Atoms (fractional coordinates):
Ru: 0.757 0.875 0.382
Ru: 0.627 0.296 0.121
Ru: 0.555 0.375 0.680
Ru: 0.075 0.454 0.831
Nd: 0.375 0.514 0.230
Nd: 0.236 0.137 0.737
Nd: 0.726 0.106 0.759
Nd: 0.966 0.236 0.361
Nd: 0.434 0.051 0.273
Nd: 0.850 0.613 0.599
Nd: 0.902 0.643 0.119
Nd: 0.472 0.699 0.883
Au: 0.029 0.011 0.007
Au: 0.246 0.739 0.518

Output
Energy of formation (eV per atom): -0.32
Size of the total moment (μB per formula unit): 0.00
Raw total energy (eV for the cell shown): -86.21

=====

Nd5RuAu2 | GGA-PBE | optimized geometry

Cell: 4.221 8.766 12.302 Å, 90.00 90.00 90.00°
Atoms (fractional coordinates):
Au: 0.500 0.933 0.675
Au: 0.500 0.567 0.175
Au: 0.500 0.067 0.325
Au: 0.500 0.433 0.825
Nd: 0.000 0.000 0.500
Nd: 0.500 0.180 0.081
Nd: 0.000 0.148 0.801
Nd: 0.500 0.820 0.919
Nd: 0.000 0.500 0.000
Nd: 0.000 0.648 0.699
Nd: 0.000 0.352 0.301
Nd: 0.500 0.680 0.419
Nd: 0.000 0.852 0.199
Nd: 0.500 0.320 0.581
Ru: 0.000 0.500 0.500
Ru: 0.000 0.000 0.000

Output
Energy of formation (eV per atom): -0.50
Size of the total moment (μB per formula unit): 0.00
Raw total energy (eV for the cell shown): -87.39

=====

Nd7Ru2Au2 | GGA-PBE | optimized geometry

Cell: 6.920 7.126 6.920 Å, 90.00 109.53 90.00°
Atoms (fractional coordinates):
Nd: 0.000 0.739 0.500
Nd: 0.500 0.251 0.500
Nd: 0.000 0.261 0.500
Nd: 0.500 0.739 0.000
Nd: 0.000 0.000 0.000
Nd: 0.500 0.261 0.000
Nd: 0.500 0.749 0.500
Au: 0.822 0.500 0.822
Au: 0.178 0.500 0.178
Ru: 0.298 0.000 0.702
Ru: 0.702 0.000 0.298

Output
Energy of formation (eV per atom): -0.29
Size of the total moment (μB per formula unit): 0.00
Raw total energy (eV for the cell shown): -61.66